Record 1
Below is Sm2Y2CI2Cl3 after structural relaxation, with properties calculated at the GGA-PBE level.

Unit cell a=9.162 b=9.162 c=8.127 alpha=100.11 beta=100.11 gamma=24.49
Sites, in units of the cell vectors:
C1 0.500 0.500 0.000
Cl1 0.829 0.829 0.151
Cl2 0.500 0.500 0.500
Cl3 0.171 0.171 0.849
I1 0.169 0.169 0.355
I2 0.831 0.831 0.645
Sm1 0.994 0.994 0.209
Sm2 0.006 0.006 0.791
Y1 0.636 0.636 0.065
Y2 0.364 0.364 0.935

Computed properties:
magnetic moment	0.02	μB/f.u.
theoretical density	5.1	Mg/m³
raw total energy	-5.4659	eV/atom


Record 2
Below is Sm2Y2CI2Cl3 after structural relaxation, with properties calculated at the GGA-PBE level.

Unit cell a=9.449 b=9.449 c=7.984 alpha=100.95 beta=100.95 gamma=23.48
Sites, in units of the cell vectors:
C1 0.500 0.500 0.000
Cl1 0.147 0.147 0.331
Cl2 0.500 0.500 0.500
Cl3 0.853 0.853 0.669
I1 0.828 0.828 0.207
I2 0.172 0.172 0.793
Sm1 0.636 0.636 0.075
Sm2 0.364 0.364 0.925
Y1 0.998 0.998 0.207
Y2 0.002 0.002 0.793

Computed properties:
magnetic moment	0.10	μB/f.u.
theoretical density	5.1	Mg/m³
raw total energy	-5.4784	eV/atom


Record 3
Below is Sm2Y2CI2Cl3 after structural relaxation, with properties calculated at the GGA-PBE level.

Unit cell a=9.430 b=9.430 c=8.023 alpha=100.23 beta=100.23 gamma=23.72
Sites, in units of the cell vectors:
C1 0.500 0.500 0.000
Cl1 0.152 0.152 0.313
Cl2 0.500 0.500 0.500
Cl3 0.848 0.848 0.687
I1 0.824 0.824 0.196
I2 0.176 0.176 0.804
Sm1 0.998 0.998 0.212
Sm2 0.002 0.002 0.788
Y1 0.633 0.633 0.069
Y2 0.367 0.367 0.931

Computed properties:
magnetic moment	0.07	μB/f.u.
theoretical density	5.0	Mg/m³
raw total energy	-5.4854	eV/atom


Record 4
Below is Sm2Y2CI2Cl3 after structural relaxation, with properties calculated at the GGA-PBE level.

Unit cell a=9.190 b=9.190 c=8.050 alpha=100.85 beta=100.85 gamma=24.28
Sites, in units of the cell vectors:
C1 0.500 0.500 0.000
Cl1 0.834 0.834 0.169
Cl2 0.500 0.500 0.500
Cl3 0.166 0.166 0.831
I1 0.165 0.165 0.369
I2 0.835 0.835 0.631
Sm1 0.640 0.640 0.067
Sm2 0.360 0.360 0.933
Y1 0.996 0.996 0.204
Y2 0.004 0.004 0.796

Computed properties:
magnetic moment	0.15	μB/f.u.
theoretical density	5.1	Mg/m³
raw total energy	-5.4514	eV/atom


Record 5
Below is Zr2CICl after structural relaxation, with properties calculated at the GGA-PBE level.

Unit cell a=3.549 b=3.549 c=10.131 alpha=90.00 beta=90.00 gamma=120.00
Sites, in units of the cell vectors:
C1 0.333 0.667 0.509
Cl1 0.667 0.333 0.798
I1 0.000 0.000 0.178
Zr1 0.667 0.333 0.391
Zr2 0.000 0.000 0.623

Computed properties:
magnetic moment	0.00	μB/f.u.
theoretical density	5.4	Mg/m³
raw total energy	-7.1017	eV/atom


Record 6
Below is K2PtC4N4Cl2 after structural relaxation, with properties calculated at the GGA-PBE level.

Unit cell a=7.093 b=8.917 c=8.450 alpha=90.00 beta=106.25 gamma=90.00
Sites, in units of the cell vectors:
C1 0.795 0.040 0.118
C2 0.195 0.949 0.216
C3 0.805 0.449 0.284
C4 0.205 0.540 0.382
C5 0.795 0.460 0.618
C6 0.195 0.551 0.716
C7 0.805 0.051 0.784
C8 0.205 0.960 0.882
Cl1 0.107 0.253 0.034
Cl2 0.893 0.753 0.466
Cl3 0.107 0.247 0.534
Cl4 0.893 0.747 0.966
K1 0.518 0.728 0.126
K2 0.482 0.228 0.374
K3 0.518 0.772 0.626
K4 0.482 0.272 0.874
N1 0.684 0.422 0.161
N2 0.669 0.060 0.181
N3 0.331 0.560 0.319
N4 0.316 0.922 0.339
N5 0.684 0.078 0.661
N6 0.669 0.440 0.681
N7 0.331 0.940 0.819
N8 0.316 0.578 0.839
Pt1 0.000 0.000 0.000
Pt2 0.000 0.500 0.500

Computed properties:
magnetic moment	0.00	μB/f.u.
theoretical density	2.9	Mg/m³
raw total energy	-6.5456	eV/atom


Record 7
Below is La2Nd2CCl5 after structural relaxation, with properties calculated at the GGA-PBE level.

Unit cell a=9.151 b=9.151 c=8.293 alpha=104.22 beta=104.22 gamma=24.92
Sites, in units of the cell vectors:
C1 0.500 0.500 0.000
Cl1 0.827 0.827 0.144
Cl2 0.166 0.166 0.338
Cl3 0.500 0.500 0.500
Cl4 0.834 0.834 0.662
Cl5 0.173 0.173 0.856
La1 0.998 0.998 0.216
La2 0.002 0.002 0.784
Nd1 0.645 0.645 0.087
Nd2 0.355 0.355 0.913

Computed properties:
magnetic moment	0.19	μB/f.u.
theoretical density	4.4	Mg/m³
raw total energy	-5.4963	eV/atom


Record 8
Below is La2Nd2CCl5 after structural relaxation, with properties calculated at the GGA-PBE level.

Unit cell a=9.185 b=9.185 c=8.124 alpha=104.98 beta=104.98 gamma=24.68
Site moments in Bohr magnetons follow the coordinates.
Sites, in units of the cell vectors:
C1 0.500 0.500 0.000  0.00
Cl1 0.832 0.832 0.161  0.00
Cl2 0.162 0.162 0.355  0.00
Cl3 0.500 0.500 0.500  0.00
Cl4 0.838 0.838 0.645  0.00
Cl5 0.168 0.168 0.839  0.00
La1 0.648 0.648 0.092  0.07
La2 0.352 0.352 0.908  0.07
Nd1 0.999 0.999 0.213  0.01
Nd2 0.001 0.001 0.787  0.01

Computed properties:
magnetic moment	0.35	μB/f.u.
theoretical density	4.5	Mg/m³
raw total energy	-5.5013	eV/atom


Question: Which value of theoretical density does entry 7 give?
Answer: 4.4 Mg/m³


Repeat the eighth record exactly.
Below is La2Nd2CCl5 after structural relaxation, with properties calculated at the GGA-PBE level.

Unit cell a=9.185 b=9.185 c=8.124 alpha=104.98 beta=104.98 gamma=24.68
Site moments in Bohr magnetons follow the coordinates.
Sites, in units of the cell vectors:
C1 0.500 0.500 0.000  0.00
Cl1 0.832 0.832 0.161  0.00
Cl2 0.162 0.162 0.355  0.00
Cl3 0.500 0.500 0.500  0.00
Cl4 0.838 0.838 0.645  0.00
Cl5 0.168 0.168 0.839  0.00
La1 0.648 0.648 0.092  0.07
La2 0.352 0.352 0.908  0.07
Nd1 0.999 0.999 0.213  0.01
Nd2 0.001 0.001 0.787  0.01

Computed properties:
magnetic moment	0.35	μB/f.u.
theoretical density	4.5	Mg/m³
raw total energy	-5.5013	eV/atom


Question: Look up the magnetic moment of the fourth one.
Answer: 0.15 μB/f.u.